[1]
MgNp3Tl3Se8 GGA-PBE relaxed; space group = C2/m (12); formation energy without anion corrections = -904.1 meV/atom; calculated volume = 463 Å³/cell
1.0
8.250 0.000 0.000
-4.125 7.184 -0.031
0.000 -4.765 7.826
Mg Np Tl Se
1 3 3 8
Direct
0.000 0.000 0.500 Mg
0.500 0.000 0.500 Np
0.500 0.500 0.500 Np
0.000 0.500 0.500 Np
0.000 0.000 0.000 Tl
0.000 0.500 0.000 Tl
0.500 0.500 0.000 Tl
0.264 0.528 0.293 Se
0.736 0.472 0.707 Se
0.768 0.536 0.303 Se
0.232 0.464 0.697 Se
0.769 0.032 0.303 Se
0.231 0.968 0.697 Se
0.263 0.032 0.303 Se
0.737 0.968 0.697 Se

---

[2]
Ce3SiGe2 GGA-PBE relaxed; space group = Pnma (62); formation energy without anion corrections = -628.5 meV/atom; calculated volume = 576 Å³/cell; energy relative to the lowest polymorph listed for this composition = 0.000 eV/atom
1.0
-2.264 -1.680 -3.042
-2.611 -8.830 6.822
-9.768 5.962 3.978
Ce Si Ge
12 4 8
Direct
0.250 0.386 0.052 Ce
0.750 0.614 0.948 Ce
0.750 0.886 0.448 Ce
0.250 0.114 0.552 Ce
0.250 0.719 0.217 Ce
0.750 0.281 0.783 Ce
0.750 0.219 0.283 Ce
0.250 0.781 0.717 Ce
0.250 0.440 0.383 Ce
0.750 0.560 0.617 Ce
0.750 0.940 0.117 Ce
0.250 0.060 0.883 Ce
0.250 0.131 0.128 Si
0.750 0.869 0.872 Si
0.750 0.631 0.372 Si
0.250 0.369 0.628 Si
0.250 0.697 0.481 Ge
0.750 0.303 0.519 Ge
0.750 0.197 0.019 Ge
0.250 0.803 0.981 Ge
0.250 0.005 0.302 Ge
0.750 0.995 0.698 Ge
0.750 0.505 0.198 Ge
0.250 0.495 0.802 Ge